Record 1
AcSmDy2Ho5: optimized geometry, PBE.

Properties
density of states at the Fermi level = 1.280 states/eV/atom
total moment = 0.00 μB per formula unit
DFT formation energy = 0.27 eV per atom
space group = I4/mcm
calculated total energy = -38.5 eV per formula unit

```
AcSmDy2Ho5
1.0
-4.674 6.917 -3.197
-4.013 -5.423 -5.866
-1.131 -2.127 9.552
Ac Sm Dy Ho
2 2 4 10
Direct
0.250 0.250 0.500
0.750 0.750 0.500
0.250 0.750 0.500
0.750 0.250 0.500
0.114 0.386 0.000
0.614 0.114 0.000
0.386 0.886 0.000
0.886 0.614 0.000
0.925 0.425 0.254
0.671 0.171 0.746
0.075 0.575 0.746
0.171 0.075 0.746
0.575 0.671 0.746
0.829 0.925 0.254
0.425 0.329 0.254
0.329 0.829 0.254
0.500 0.500 0.000
0.000 0.000 0.000
```

---

Record 2
AcSm4DyHo2: optimized geometry, PBE.

Properties
density of states at the Fermi level = 2.223 states/eV/atom
total moment = 0.00 μB per formula unit
DFT formation energy = 0.13 eV per atom
space group = Pmmm
calculated total energy = -35.7 eV per formula unit

```
AcSm4DyHo2
1.0
-1.738 -4.166 -3.913
2.761 -4.182 3.225
-3.665 -5.307 7.277
Ac Sm Dy Ho
1 4 1 2
Direct
0.500 0.500 0.000
0.000 0.768 0.732
0.000 0.232 0.268
0.500 0.731 0.269
0.500 0.269 0.731
0.000 0.500 0.500
0.000 0.000 0.000
0.500 0.000 0.500
```

---

Record 3
AcSm4Dy2Ho: optimized geometry, PBE.

Properties
density of states at the Fermi level = 2.249 states/eV/atom
total moment = 0.00 μB per formula unit
DFT formation energy = 0.12 eV per atom
space group = P4/mmm
calculated total energy = -35.8 eV per formula unit

```
AcSm4Dy2Ho
1.0
5.968 0.000 0.000
0.000 5.756 1.559
0.000 3.741 8.995
Ac Sm Dy Ho
1 4 2 1
Direct
0.500 0.500 0.000
0.000 0.769 0.731
0.000 0.231 0.269
0.500 0.730 0.270
0.500 0.270 0.730
0.000 0.000 0.000
0.500 0.000 0.500
0.000 0.500 0.500
```

---

Record 4
AcSm2Dy2Ho2: optimized geometry, PBE.

Properties
density of states at the Fermi level = 1.481 states/eV/atom
total moment = 0.00 μB per formula unit
DFT formation energy = 0.04 eV per atom
space group = C2/m
calculated total energy = -31.6 eV per formula unit

```
AcSm2Dy2Ho2
1.0
5.139 0.000 0.000
-2.570 5.703 0.271
0.000 -1.547 7.983
Ac Sm Dy Ho
1 2 2 2
Direct
0.000 0.000 0.000
0.574 0.148 0.710
0.426 0.852 0.290
0.715 0.429 0.150
0.285 0.571 0.850
0.143 0.286 0.434
0.857 0.714 0.566
```

---

Record 5
AcSm2DyHo: optimized geometry, PBE.

Properties
density of states at the Fermi level = 1.705 states/eV/atom
total moment = 0.00 μB per formula unit
DFT formation energy = 0.04 eV per atom
space group = P2_1/m
calculated total energy = -22.5 eV per formula unit

```
AcSm2DyHo
1.0
-2.833 5.141 -0.282
-4.540 -2.037 8.492
5.487 3.091 1.226
Ac Sm Dy Ho
2 4 2 2
Direct
0.250 0.106 0.969
0.750 0.894 0.031
0.750 0.698 0.432
0.250 0.302 0.568
0.750 0.496 0.836
0.250 0.504 0.164
0.250 0.690 0.756
0.750 0.310 0.244
0.250 0.895 0.372
0.750 0.105 0.628
```

---

Record 6
AcSm2DyHo5: optimized geometry, PBE.

Properties
density of states at the Fermi level = 1.069 states/eV/atom
total moment = 0.00 μB per formula unit
DFT formation energy = 0.26 eV per atom
space group = I4/mcm
calculated total energy = -38.7 eV per formula unit

```
AcSm2DyHo5
1.0
8.857 0.000 0.000
0.000 8.857 0.000
-4.429 -4.429 7.695
Ac Sm Dy Ho
2 4 2 10
Direct
0.250 0.250 0.500
0.750 0.750 0.500
0.116 0.384 0.000
0.616 0.116 0.000
0.384 0.884 0.000
0.884 0.616 0.000
0.250 0.750 0.500
0.750 0.250 0.500
0.926 0.426 0.263
0.663 0.163 0.737
0.074 0.574 0.737
0.163 0.074 0.737
0.574 0.663 0.737
0.837 0.926 0.263
0.426 0.337 0.263
0.337 0.837 0.263
0.500 0.500 0.000
0.000 0.000 0.000
```

---

Record 7
AcDyHoSn: optimized geometry, PBE.

Properties
density of states at the Fermi level = 1.602 states/eV/atom
total moment = 0.00 μB per formula unit
DFT formation energy = -0.15 eV per atom
space group = F-43m
calculated total energy = -17.9 eV per formula unit

```
AcDyHoSn
1.0
5.541 0.000 0.000
2.771 4.799 0.000
2.771 1.600 4.525
Ac Ho Sn Dy
1 1 1 1
Direct
0.750 0.750 0.750
0.000 0.000 0.000
0.250 0.250 0.250
0.500 0.500 0.500
```

---

Record 8
AcTbDy3Ho: optimized geometry, PBE.

Properties
density of states at the Fermi level = 1.649 states/eV/atom
total moment = 0.00 μB per formula unit
DFT formation energy = 0.23 eV per atom
space group = C2/m
calculated total energy = -25.8 eV per formula unit

```
AcTbDy3Ho
1.0
-1.941 -4.606 -2.044
4.390 -3.317 10.436
-5.820 0.770 3.791
Ac Tb Dy Ho
2 2 6 2
Direct
0.373 0.746 0.982
0.627 0.254 0.018
0.075 0.150 0.387
0.925 0.850 0.613
0.819 0.638 0.283
0.775 0.550 0.809
0.478 0.957 0.283
0.225 0.450 0.191
0.522 0.043 0.717
0.181 0.362 0.717
0.668 0.335 0.478
0.332 0.665 0.522
```